Entry 1:
# Ho4CdHg3 PBE optimized geometry
data_Ho4CdHg3
_chemical_formula_sum 'Ho8 Cd2 Hg6'
_symmetry_space_group_name_H-M 'P 1'
_symmetry_Int_Tables_number 1
_cell_length_a 5.2261
_cell_length_b 7.4761
_cell_length_c 10.4524
_cell_angle_alpha 90.00
_cell_angle_beta 90.00
_cell_angle_gamma 90.00
loop_
_symmetry_equiv_pos_as_xyz
'x,y,z'
loop_
_atom_site_label
_atom_site_type_symbol
_atom_site_fract_x
_atom_site_fract_y
_atom_site_fract_z
Cd1 Cd 0.0000 0.5000 0.5000
Cd2 Cd 0.0000 0.5000 0.0000
Ho1 Ho 0.5000 0.7514 0.5000
Ho2 Ho 0.5000 0.7514 0.0000
Ho3 Ho 0.0003 0.2486 0.7500
Ho4 Ho 0.5000 0.2486 0.5000
Ho5 Ho 0.9997 0.2486 0.2500
Ho6 Ho 0.9997 0.7514 0.2500
Ho7 Ho 0.5000 0.2486 0.0000
Ho8 Ho 0.0003 0.7514 0.7500
Hg1 Hg 0.0000 0.0000 0.5000
Hg2 Hg 0.5005 0.0000 0.7500
Hg3 Hg 0.5001 0.5000 0.7500
Hg4 Hg 0.4999 0.5000 0.2500
Hg5 Hg 0.0000 0.0000 0.0000
Hg6 Hg 0.4995 0.0000 0.2500
# volume: 25.524 Å³/atom
# DFT formation energy: -0.4374 eV/atom
# SG: P4/mmm
# magnetization: 0.00 Bohr magnetons per cell

Entry 2:
# HoCd2Hg3 PBE optimized geometry
data_HoCd2Hg3
_chemical_formula_sum 'Ho2 Cd4 Hg6'
_symmetry_space_group_name_H-M 'P 1'
_symmetry_Int_Tables_number 1
_cell_length_a 4.3905
_cell_length_b 4.7291
_cell_length_c 13.7948
_cell_angle_alpha 90.00
_cell_angle_beta 90.00
_cell_angle_gamma 90.00
loop_
_symmetry_equiv_pos_as_xyz
'x,y,z'
loop_
_atom_site_label
_atom_site_type_symbol
_atom_site_fract_x
_atom_site_fract_y
_atom_site_fract_z
Hg1 Hg 0.5005 0.0000 0.5000
Hg2 Hg 0.4998 0.5000 0.6637
Hg3 Hg 0.5002 0.0000 0.1637
Hg4 Hg 0.4995 0.5000 0.0000
Hg5 Hg 0.4998 0.5000 0.3363
Hg6 Hg 0.5002 0.0000 0.8363
Cd1 Cd 0.9995 0.5000 0.8275
Cd2 Cd 0.0005 0.0000 0.3275
Cd3 Cd 0.0005 0.0000 0.6725
Cd4 Cd 0.9995 0.5000 0.1725
Ho1 Ho 0.9999 0.5000 0.5000
Ho2 Ho 0.0001 0.0000 0.0000
# volume: 23.869 Å³/atom
# DFT formation energy: -0.2007 eV/atom
# SG: Cmmm
# magnetization: 0.00 Bohr magnetons per cell

Entry 3:
# Ho3Cd2Hg4 PBE optimized geometry
data_Ho3Cd2Hg4
_chemical_formula_sum 'Ho3 Cd2 Hg4'
_symmetry_space_group_name_H-M 'P 1'
_symmetry_Int_Tables_number 1
_cell_length_a 4.9511
_cell_length_b 6.0088
_cell_length_c 9.1890
_cell_angle_alpha 116.47
_cell_angle_beta 90.00
_cell_angle_gamma 114.33
loop_
_symmetry_equiv_pos_as_xyz
'x,y,z'
loop_
_atom_site_label
_atom_site_type_symbol
_atom_site_fract_x
_atom_site_fract_y
_atom_site_fract_z
Hg1 Hg 0.0644 0.1288 0.3948
Hg2 Hg 0.2876 0.5752 0.9503
Hg3 Hg 0.9356 0.8712 0.6052
Hg4 Hg 0.7124 0.4248 0.0497
Ho1 Ho 0.3357 0.6714 0.3302
Ho2 Ho 0.6643 0.3286 0.6698
Ho3 Ho 0.0000 0.0000 0.0000
Cd1 Cd 0.6124 0.2247 0.2809
Cd2 Cd 0.3876 0.7753 0.7191
# volume: 24.139 Å³/atom
# DFT formation energy: -0.3690 eV/atom
# SG: C2/m
# magnetization: 0.00 Bohr magnetons per cell

Entry 4:
# Ho2Cd3Hg3 PBE optimized geometry
data_Ho2Cd3Hg3
_chemical_formula_sum 'Ho2 Cd3 Hg3'
_symmetry_space_group_name_H-M 'P 1'
_symmetry_Int_Tables_number 1
_cell_length_a 5.0717
_cell_length_b 5.0717
_cell_length_c 8.8077
_cell_angle_alpha 73.27
_cell_angle_beta 73.27
_cell_angle_gamma 60.00
loop_
_symmetry_equiv_pos_as_xyz
'x,y,z'
loop_
_atom_site_label
_atom_site_type_symbol
_atom_site_fract_x
_atom_site_fract_y
_atom_site_fract_z
Ho1 Ho 0.4976 0.4976 0.5071
Ho2 Ho 0.0024 0.0024 0.9927
Cd1 Cd 0.2505 0.2505 0.2486
Cd2 Cd 0.6237 0.6237 0.1290
Cd3 Cd 0.7494 0.7494 0.7518
Hg1 Hg 0.3732 0.3732 0.8804
Hg2 Hg 0.8773 0.8773 0.3681
Hg3 Hg 0.1259 0.1259 0.6223
# volume: 23.130 Å³/atom
# DFT formation energy: -0.3315 eV/atom
# SG: R3m
# magnetization: 0.00 Bohr magnetons per cell

Entry 5:
# HoCd8Hg2 PBE optimized geometry
data_HoCd8Hg2
_chemical_formula_sum 'Ho1 Cd8 Hg2'
_symmetry_space_group_name_H-M 'P 1'
_symmetry_Int_Tables_number 1
_cell_length_a 5.8926
_cell_length_b 7.5224
_cell_length_c 7.5224
_cell_angle_alpha 64.25
_cell_angle_beta 74.02
_cell_angle_gamma 74.02
loop_
_symmetry_equiv_pos_as_xyz
'x,y,z'
loop_
_atom_site_label
_atom_site_type_symbol
_atom_site_fract_x
_atom_site_fract_y
_atom_site_fract_z
Cd1 Cd 0.8835 0.8631 0.4757
Cd2 Cd 0.1165 0.5243 0.1369
Cd3 Cd 0.3955 0.1189 0.1189
Cd4 Cd 0.2633 0.4989 0.4989
Cd5 Cd 0.6045 0.8811 0.8811
Cd6 Cd 0.7367 0.5011 0.5011
Cd7 Cd 0.8835 0.4757 0.8631
Cd8 Cd 0.1165 0.1369 0.5243
Hg1 Hg 0.3433 0.7219 0.7219
Hg2 Hg 0.6567 0.2781 0.2781
Ho1 Ho 0.0000 0.0000 0.0000
# volume: 25.820 Å³/atom
# DFT formation energy: 0.0319 eV/atom
# SG: C2/m
# magnetization: 0.00 Bohr magnetons per cell

Entry 6:
# Ho2Cd3Hg4 PBE optimized geometry
data_Ho2Cd3Hg4
_chemical_formula_sum 'Ho4 Cd6 Hg8'
_symmetry_space_group_name_H-M 'P 1'
_symmetry_Int_Tables_number 1
_cell_length_a 6.1863
_cell_length_b 8.3169
_cell_length_c 9.0851
_cell_angle_alpha 90.00
_cell_angle_beta 109.91
_cell_angle_gamma 90.00
loop_
_symmetry_equiv_pos_as_xyz
'x,y,z'
loop_
_atom_site_label
_atom_site_type_symbol
_atom_site_fract_x
_atom_site_fract_y
_atom_site_fract_z
Cd1 Cd 0.9804 0.2500 0.4609
Cd2 Cd 0.0000 0.0000 0.0000
Cd3 Cd 0.4804 0.2500 0.4609
Cd4 Cd 0.5000 0.5000 0.0000
Cd5 Cd 0.0196 0.7500 0.5391
Cd6 Cd 0.5196 0.7500 0.5391
Hg1 Hg 0.8103 0.2500 0.1206
Hg2 Hg 0.6897 0.7500 0.8794
Hg3 Hg 0.1897 0.7500 0.8794
Hg4 Hg 0.3103 0.2500 0.1206
Hg5 Hg 0.3319 0.4596 0.6639
Hg6 Hg 0.1681 0.9596 0.3361
Hg7 Hg 0.6681 0.5404 0.3361
Hg8 Hg 0.8319 0.0404 0.6639
Ho1 Ho 0.4004 0.0952 0.8009
Ho2 Ho 0.9004 0.4048 0.8009
Ho3 Ho 0.0996 0.5952 0.1991
Ho4 Ho 0.5996 0.9048 0.1991
# volume: 24.417 Å³/atom
# DFT formation energy: -0.1774 eV/atom
# SG: Cmce
# magnetization: 0.00 Bohr magnetons per cell

Entry 7:
# HoCd2Hg6 PBE optimized geometry
data_HoCd2Hg6
_chemical_formula_sum 'Ho1 Cd2 Hg6'
_symmetry_space_group_name_H-M 'P 1'
_symmetry_Int_Tables_number 1
_cell_length_a 5.1384
_cell_length_b 5.1381
_cell_length_c 9.6213
_cell_angle_alpha 90.03
_cell_angle_beta 90.00
_cell_angle_gamma 120.00
loop_
_symmetry_equiv_pos_as_xyz
'x,y,z'
loop_
_atom_site_label
_atom_site_type_symbol
_atom_site_fract_x
_atom_site_fract_y
_atom_site_fract_z
Hg1 Hg 0.0000 0.0001 0.8285
Hg2 Hg 0.6667 0.3333 0.9712
Hg3 Hg 0.3333 0.6667 0.0288
Hg4 Hg 0.6667 0.3333 0.6344
Hg5 Hg 0.3333 0.6667 0.3656
Hg6 Hg 0.0000 0.9999 0.1715
Ho1 Ho 0.0000 0.0000 0.5000
Cd1 Cd 0.6667 0.3333 0.3117
Cd2 Cd 0.3333 0.6667 0.6883
# volume: 24.443 Å³/atom
# DFT formation energy: -0.1256 eV/atom
# SG: P-3m1
# magnetization: 0.00 Bohr magnetons per cell

Entry 8:
# Ho3Cd2Hg6 PBE optimized geometry
data_Ho3Cd2Hg6
_chemical_formula_sum 'Ho3 Cd2 Hg6'
_symmetry_space_group_name_H-M 'P 1'
_symmetry_Int_Tables_number 1
_cell_length_a 4.2071
_cell_length_b 4.2071
_cell_length_c 16.5879
_cell_angle_alpha 97.29
_cell_angle_beta 97.29
_cell_angle_gamma 90.00
loop_
_symmetry_equiv_pos_as_xyz
'x,y,z'
loop_
_atom_site_label
_atom_site_type_symbol
_atom_site_fract_x
_atom_site_fract_y
_atom_site_fract_z
Ho1 Ho 0.8217 0.8217 0.6434
Ho2 Ho 0.1783 0.1783 0.3566
Ho3 Ho 0.0000 0.0000 0.0000
Hg1 Hg 0.0706 0.5706 0.1411
Hg2 Hg 0.7274 0.7274 0.4549
Hg3 Hg 0.2726 0.2726 0.5451
Hg4 Hg 0.5706 0.0706 0.1411
Hg5 Hg 0.4294 0.9294 0.8589
Hg6 Hg 0.9294 0.4294 0.8589
Cd1 Cd 0.6383 0.6383 0.2767
Cd2 Cd 0.3617 0.3617 0.7233
# volume: 26.259 Å³/atom
# DFT formation energy: -0.1514 eV/atom
# SG: I4/mmm
# magnetization: 0.00 Bohr magnetons per cell

Entry 9:
# Ho4CdHg PBE optimized geometry
data_Ho4CdHg
_chemical_formula_sum 'Ho4 Cd1 Hg1'
_symmetry_space_group_name_H-M 'P 1'
_symmetry_Int_Tables_number 1
_cell_length_a 5.0779
_cell_length_b 5.0784
_cell_length_c 7.2463
_cell_angle_alpha 89.99
_cell_angle_beta 90.00
_cell_angle_gamma 90.00
loop_
_symmetry_equiv_pos_as_xyz
'x,y,z'
loop_
_atom_site_label
_atom_site_type_symbol
_atom_site_fract_x
_atom_site_fract_y
_atom_site_fract_z
Cd1 Cd 0.5012 0.4974 0.9981
Ho1 Ho 0.0012 0.4972 0.2506
Ho2 Ho 0.5013 0.9972 0.2506
Ho3 Ho 0.5013 0.9974 0.7457
Ho4 Ho 0.0013 0.4973 0.7456
Hg1 Hg 0.0013 0.9973 0.4981
# volume: 31.144 Å³/atom
# DFT formation energy: -0.0110 eV/atom
# SG: P4/mmm
# magnetization: 0.00 Bohr magnetons per cell

Entry 10:
# Ho3Cd3Hg PBE optimized geometry
data_Ho3Cd3Hg
_chemical_formula_sum 'Ho3 Cd3 Hg1'
_symmetry_space_group_name_H-M 'P 1'
_symmetry_Int_Tables_number 1
_cell_length_a 4.9012
_cell_length_b 3.4993
_cell_length_c 10.8111
_cell_angle_alpha 99.31
_cell_angle_beta 103.10
_cell_angle_gamma 90.00
loop_
_symmetry_equiv_pos_as_xyz
'x,y,z'
loop_
_atom_site_label
_atom_site_type_symbol
_atom_site_fract_x
_atom_site_fract_y
_atom_site_fract_z
Cd1 Cd 0.1445 0.6445 0.2890
Cd2 Cd 0.5693 0.5693 0.1386
Cd3 Cd 0.8544 0.3544 0.7088
Hg1 Hg 0.4325 0.4325 0.8649
Ho1 Ho 0.7014 0.2014 0.4028
Ho2 Ho 0.9972 0.9972 0.9944
Ho3 Ho 0.3007 0.8007 0.6014
# volume: 25.441 Å³/atom
# DFT formation energy: -0.2957 eV/atom
# SG: Imm2
# magnetization: 0.00 Bohr magnetons per cell

Entry 11:
# Ho5Cd2Hg2 PBE optimized geometry
data_Ho5Cd2Hg2
_chemical_formula_sum 'Ho10 Cd4 Hg4'
_symmetry_space_group_name_H-M 'P 1'
_symmetry_Int_Tables_number 1
_cell_length_a 8.2160
_cell_length_b 7.2281
_cell_length_c 9.0824
_cell_angle_alpha 113.45
_cell_angle_beta 90.00
_cell_angle_gamma 90.00
loop_
_symmetry_equiv_pos_as_xyz
'x,y,z'
loop_
_atom_site_label
_atom_site_type_symbol
_atom_site_fract_x
_atom_site_fract_y
_atom_site_fract_z
Ho1 Ho 0.8179 0.5382 0.7237
Ho2 Ho 0.1821 0.4618 0.2763
Ho3 Ho 0.3179 0.9618 0.2763
Ho4 Ho 0.8179 0.8145 0.2763
Ho5 Ho 0.1821 0.1855 0.7237
Ho6 Ho 0.3179 0.6855 0.7237
Ho7 Ho 0.6821 0.0382 0.7237
Ho8 Ho 0.5000 0.5000 0.0000
Ho9 Ho 0.0000 0.0000 0.0000
Ho10 Ho 0.6821 0.3145 0.2763
Cd1 Cd 0.0000 0.2162 0.4323
Cd2 Cd 0.5000 0.7162 0.4323
Cd3 Cd 0.0000 0.7838 0.5677
Cd4 Cd 0.5000 0.2838 0.5677
Hg1 Hg 0.3555 0.1146 0.0000
Hg2 Hg 0.8555 0.3854 0.0000
Hg3 Hg 0.1445 0.6146 0.0000
Hg4 Hg 0.6445 0.8854 0.0000
# volume: 27.490 Å³/atom
# DFT formation energy: -0.2702 eV/atom
# SG: Cmce
# magnetization: 0.00 Bohr magnetons per cell

Entry 12:
# Ho3CdHg4 PBE optimized geometry
data_Ho3CdHg4
_chemical_formula_sum 'Ho3 Cd1 Hg4'
_symmetry_space_group_name_H-M 'P 1'
_symmetry_Int_Tables_number 1
_cell_length_a 3.5456
_cell_length_b 6.9117
_cell_length_c 9.4903
_cell_angle_alpha 111.35
_cell_angle_beta 100.77
_cell_angle_gamma 90.00
loop_
_symmetry_equiv_pos_as_xyz
'x,y,z'
loop_
_atom_site_label
_atom_site_type_symbol
_atom_site_fract_x
_atom_site_fract_y
_atom_site_fract_z
Cd1 Cd 0.5000 0.0000 0.0000
Ho1 Ho 0.2220 0.2220 0.4439
Ho2 Ho 0.0000 0.5000 0.0000
Ho3 Ho 0.7780 0.7780 0.5561
Hg1 Hg 0.6257 0.4033 0.2515
Hg2 Hg 0.6257 0.8482 0.2515
Hg3 Hg 0.3743 0.5967 0.7485
Hg4 Hg 0.3743 0.1518 0.7485
# volume: 26.525 Å³/atom
# DFT formation energy: -0.3031 eV/atom
# SG: Immm
# magnetization: 0.00 Bohr magnetons per cell